[1]
Density functional theory data (PBE-GGA) for crystalline AlGeH2Au at its relaxed geometry.

Cell lengths 3.614, 5.591, 3.614 Å; angles 90.00, 90.00, 90.00 degrees
Positions (direct):
H  0.500  0.000  0.000
H  0.000  0.000  0.500
Al  0.500  0.500  0.500
Au  0.000  0.500  0.000
Ge  0.000  0.000  0.000

Summary:
electronic total energy = -3.493 eV/atom



[2]
Density functional theory data (PBE-GGA) for crystalline La2Al4Ge3Au at its relaxed geometry.

Cell lengths 4.470, 4.470, 10.622 Å; angles 90.00, 90.00, 90.00 degrees
Positions (direct):
Al  0.000  0.500  0.377
Al  0.500  0.000  0.623
Al  0.000  0.000  0.000
Al  0.500  0.500  0.000
Ge  0.000  0.000  0.500
Ge  0.500  0.000  0.866
Ge  0.000  0.500  0.134
La  0.000  0.500  0.742
La  0.500  0.000  0.258
Au  0.500  0.500  0.500

Summary:
calculated formation energy = -0.4558 eV/atom
electronic total energy = -4.651 eV/atom